Here is crystalline La2Cd2Co at its relaxed geometry from the Alexandria database. Energies are from PBE.

Lattice parameters (Å, degrees): 5.2139 5.2139 5.1156 90.00 90.00 90.00
With the nearest neighbours (Å) after each atom.
Element x y z (fractional)
La  0.0000  0.5000  0.0000  2 Co 2.61
La  0.5000  0.0000  0.0000  2 Co 2.61
Cd  0.0000  0.0000  0.5000  2 Co 2.56
Cd  0.5000  0.5000  0.5000  8 La 3.65, 4 Cd 3.69
Co  0.0000  0.0000  0.0000  2 Cd 2.56, 4 La 2.61

## Properties
Space group: No. 123
Relative energy among the computed polymorphs in meV/atom: 0
Calculated formation energy in kJ/mol of formula units: -108

Here is crystalline Pa2B3Os2 at its relaxed geometry from the Alexandria database. Energies are from PBE.

Lattice parameters (Å, degrees): 10.3424 3.7711 5.9432 90.00 120.96 90.00
With the nearest neighbours (Å) after each atom.
Element x y z (fractional)
Pa  0.1308  0.0000  0.4830  3 Pa 2.82-3.03, 6 B 2.83-3.10, 3 Os 2.86-3.11
Pa  0.3692  0.5000  0.5170  3 Pa 2.82-3.03, 6 B 2.83-3.10, 3 Os 2.86-3.11
Pa  0.6308  0.5000  0.4830  3 Pa 2.82-3.03, 6 B 2.83-3.10, 3 Os 2.86-3.11
Pa  0.8692  0.0000  0.5170  3 Pa 2.82-3.03, 6 B 2.83-3.10, 3 Os 2.86-3.11
B  0.0000  0.5000  0.0000  2 B 1.81
B  0.0974  0.5000  0.8203  1 B 1.81
B  0.4026  0.0000  0.1797  1 B 1.81
B  0.5000  0.0000  0.0000  2 B 1.81
B  0.5974  0.0000  0.8203  1 B 1.81
B  0.9026  0.5000  0.1797  1 B 1.81
Os  0.1593  0.0000  0.0292  3 B 2.17-2.19
Os  0.3407  0.5000  0.9708  3 B 2.17-2.19
Os  0.6593  0.5000  0.0292  3 B 2.17-2.19
Os  0.8407  0.0000  0.9708  3 B 2.17-2.19

## Properties
Space group: No. 12
Calculated formation energy in kJ/mol of formula units: -118

Here is crystalline IrCl12F6 at its relaxed geometry from the Alexandria database. Energies are from PBE.

Lattice parameters (Å, degrees): 14.2251 14.2251 14.2251 28.57 28.57 28.57
With the nearest neighbours (Å) after each atom.
Element x y z (fractional)
Ir  0.0000  0.0000  0.0000  6 Cl 2.30
Cl  0.0841  0.7427  0.2702  1 Ir 2.30
Cl  0.2212  0.6108  0.5254  1 F 1.71
Cl  0.2573  0.7298  0.9159  1 Ir 2.30
Cl  0.2702  0.0841  0.7427  1 Ir 2.30
Cl  0.3892  0.4746  0.7788  1 F 1.71
Cl  0.4746  0.7788  0.3892  1 F 1.71
Cl  0.5254  0.2212  0.6108  1 F 1.71
Cl  0.6108  0.5254  0.2212  1 F 1.71
Cl  0.7298  0.9159  0.2573  1 Ir 2.30
Cl  0.7427  0.2702  0.0841  1 Ir 2.30
Cl  0.7788  0.3892  0.4746  1 F 1.71
Cl  0.9159  0.2573  0.7298  1 Ir 2.30
F  0.0369  0.8869  0.4332  1 Cl 1.71
F  0.1131  0.5668  0.9631  1 Cl 1.71
F  0.4332  0.0369  0.8869  1 Cl 1.71
F  0.5668  0.9631  0.1131  1 Cl 1.71
F  0.8869  0.4332  0.0369  1 Cl 1.71
F  0.9631  0.1131  0.5668  1 Cl 1.71

## Properties
Space group: No. 148
Calculated total energy in eV/atom: -2.54

no.,total moment (μB per atom)
1,0.0000
2,0.0000
3,0.1665